Compound: RbLa2Ti
Source: the Alexandria database
Functional: PBE-GGA
Structure: optimized geometry

abc: 8.2124 8.2124 8.2124
angles: 90.00 90.00 90.00
Closest atoms and distances in Å follow each position.
Space group Fm-3m (No. 225)
Asymmetric unit:
Rb  0.0000  0.0000  0.0000 (multiplicity 4)  8 La 3.56
La  0.2500  0.2500  0.2500 (multiplicity 8)  4 Rb 3.56, 4 Ti 3.56
Ti  0.0000  0.0000  0.5000 (multiplicity 4)  8 La 3.56

Summary:
Calculated density: 4.93 g/cm³
Total moment: 3.10 μB per formula unit
Energy relative to the elements: 74.2 kJ per mole of atoms